Record 1
Here is a relaxed structure of CaHg2Te from Alexandria. Energies are from GGA-PBE.

a b c (Å): 6.992 6.992 4.409
angles (deg): 72.97 72.97 36.63
Sites, in units of the cell vectors:
Ca  0.250  0.250  0.250
Te  0.750  0.750  0.750
Hg  0.997  0.997  0.002
Hg  0.503  0.503  0.498

Calculated values
The calculation puts the uncorrected formation energy at -2.64 eV/f.u.

***

Record 2
Here is a relaxed structure of TlFeP from Alexandria. Energies are from GGA-PBE.

a b c (Å): 4.274 4.274 4.274
angles (deg): 60.00 60.00 60.00
Site moments in Bohr magnetons follow the coordinates.
Sites, in units of the cell vectors:
Fe  0.750  0.750  0.750  1.95
P  0.000  0.000  0.000  -0.03
Tl  0.500  0.500  0.500  -0.01

Calculated values
The formation enthalpy at 0 K is 50 kJ per mole of atoms. For the relative energy among the computed polymorphs, the calculation gives 0.776 eV/atom.

***

Record 3
Here is a relaxed structure of MnGeRh2 from Alexandria. Energies are from GGA-PBE.

a b c (Å): 5.278 5.278 6.694
angles (deg): 66.78 66.78 90.00
Sites, in units of the cell vectors:
Ge  0.000  0.000  0.000
Ge  0.750  0.250  0.500
Mn  0.500  0.500  0.000
Mn  0.250  0.750  0.500
Rh  0.601  0.125  0.250
Rh  0.149  0.625  0.250
Rh  0.375  0.399  0.750
Rh  0.875  0.851  0.750

Calculated values
The formation enthalpy at 0 K is 54 kJ per mole of atoms.

***

Record 4
Here is a relaxed structure of La4PrS7 from Alexandria. Energies are from GGA-PBE.

a b c (Å): 4.044 7.145 12.043
angles (deg): 104.71 90.00 106.44
Sites, in units of the cell vectors:
La  0.699  0.398  0.809
La  0.302  0.604  0.190
La  0.000  0.000  0.999
La  0.111  0.223  0.423
Pr  0.888  0.776  0.579
S  0.739  0.478  0.353
S  0.263  0.525  0.649
S  0.341  0.682  0.950
S  0.659  0.318  0.050
S  0.045  0.090  0.784
S  0.955  0.910  0.215
S  0.498  0.996  0.500

Calculated values
The calculation puts the uncorrected formation energy at -25.81 eV/f.u.

***

Record 5
Here is a relaxed structure of Sm3P3Pt2 from Alexandria. Energies are from GGA-PBE.

a b c (Å): 4.207 5.754 14.271
angles (deg): 90.00 90.00 111.44
Sites, in units of the cell vectors:
Sm  0.921  0.842  0.394
Sm  0.079  0.158  0.894
Sm  0.921  0.842  0.106
Sm  0.079  0.158  0.606
Sm  0.638  0.276  0.250
Sm  0.362  0.724  0.750
P  0.629  0.257  0.452
P  0.371  0.743  0.952
P  0.629  0.257  0.048
P  0.371  0.743  0.548
P  0.355  0.710  0.250
P  0.645  0.290  0.750
Pt  0.784  0.569  0.897
Pt  0.216  0.431  0.397
Pt  0.784  0.569  0.603
Pt  0.216  0.431  0.103

Calculated values
The formation enthalpy at 0 K is -115 kJ per mole of atoms.

***

Record 6
Here is a relaxed structure of LiCoSb2 from Alexandria. Energies are from GGA-PBE.

a b c (Å): 3.200 3.200 7.583
angles (deg): 90.00 90.00 90.00
Site moments in Bohr magnetons follow the coordinates.
Sites, in units of the cell vectors:
Co  0.000  0.000  0.532  0.79
Li  0.500  0.500  0.703  -0.01
Sb  0.000  0.000  0.918  0.01
Sb  0.500  0.500  0.348  -0.02

Calculated values
For the relative energy among the computed polymorphs, the calculation gives 0.139 eV/atom. The calculation puts the uncorrected formation energy at -0.06 eV/f.u.

***

Record 7
Here is a relaxed structure of RbHgSb2I from Alexandria. Energies are from GGA-PBE.

a b c (Å): 5.609 5.609 7.147
angles (deg): 90.00 90.00 90.00
Site moments in Bohr magnetons follow the coordinates.
Sites, in units of the cell vectors:
I  0.000  0.000  0.500  0.13
Sb  0.000  0.500  0.000  0.30
Sb  0.500  0.000  0.000  0.30
Hg  0.000  0.000  0.000  0.01
Rb  0.500  0.500  0.500  0.00

Calculated values
For the relative energy among the computed polymorphs, the calculation gives 0.000 eV/atom. The calculation puts the uncorrected formation energy at 0.17 eV/f.u.

***

Record 8
Here is a relaxed structure of LaPr2 from Alexandria. Energies are from GGA-PBE.

a b c (Å): 5.280 6.457 7.419
angles (deg): 106.67 90.00 114.13
Sites, in units of the cell vectors:
La  0.667  0.334  0.583
La  0.333  0.666  0.417
Pr  0.999  0.998  0.250
Pr  0.334  0.667  0.917
Pr  0.666  0.333  0.083
Pr  0.001  0.002  0.750

Calculated values
The formation enthalpy at 0 K is 1 kJ per mole of atoms. For the relative energy among the computed polymorphs, the calculation gives 0.000 eV/atom.

***

Record 9
Here is a relaxed structure of Cs2PmMn2Se4 from Alexandria. Energies are from GGA-PBE.

a b c (Å): 4.309 8.525 8.220
angles (deg): 107.78 105.20 90.00
Site moments in Bohr magnetons follow the coordinates.
Sites, in units of the cell vectors:
Cs  0.134  0.553  0.267  0.01
Cs  0.866  0.447  0.733  0.01
Pm  0.000  0.000  0.000  0.00
Mn  0.678  0.982  0.356  3.93
Mn  0.322  0.018  0.644  3.93
Se  0.198  0.158  0.396  0.07
Se  0.802  0.842  0.604  0.07
Se  0.524  0.776  0.047  0.03
Se  0.476  0.224  0.953  0.03

Calculated values
The calculation puts the uncorrected formation energy at -9.90 eV/f.u.

***

Record 10
Here is a relaxed structure of Pm2SmCu9 from Alexandria. Energies are from GGA-PBE.

a b c (Å): 5.227 5.227 8.928
angles (deg): 72.98 72.98 60.00
Sites, in units of the cell vectors:
Pm  0.857  0.857  0.428
Pm  0.143  0.143  0.572
Sm  0.000  0.000  0.000
Cu  0.668  0.668  0.995
Cu  0.332  0.332  0.005
Cu  0.500  0.500  0.500
Cu  0.421  0.421  0.242
Cu  0.915  0.421  0.242
Cu  0.421  0.915  0.242
Cu  0.579  0.579  0.758
Cu  0.579  0.085  0.758
Cu  0.085  0.579  0.758

Calculated values
The formation enthalpy at 0 K is -15 kJ per mole of atoms.

***

Record 11
Here is a relaxed structure of Zn2Ni2Hg from Alexandria. Energies are from GGA-PBE.

a b c (Å): 3.630 3.630 6.322
angles (deg): 73.32 73.32 90.00
Sites, in units of the cell vectors:
Ni  0.398  0.398  0.204
Ni  0.602  0.602  0.796
Zn  0.750  0.250  0.500
Zn  0.250  0.750  0.500
Hg  0.000  0.000  0.000

Calculated values
The formation enthalpy at 0 K is 9 kJ per mole of atoms. For the relative energy among the computed polymorphs, the calculation gives 0.133 eV/atom.

***

Record 12
Here is a relaxed structure of Bi2Sb2As from Alexandria. Energies are from GGA-PBE.

a b c (Å): 8.215 8.215 4.376
angles (deg): 90.00 90.00 90.00
Sites, in units of the cell vectors:
Sb  0.331  0.831  0.000
Sb  0.831  0.669  0.000
Sb  0.669  0.169  0.000
Sb  0.169  0.331  0.000
As  0.000  0.000  0.000
As  0.500  0.500  0.000
Bi  0.145  0.645  0.500
Bi  0.645  0.855  0.500
Bi  0.855  0.355  0.500
Bi  0.355  0.145  0.500

Calculated values
The calculation puts the uncorrected formation energy at 1.60 eV/f.u.

***

Record 13
Here is a relaxed structure of CuSb2Se4 from Alexandria. Energies are from GGA-PBE.

a b c (Å): 6.460 7.619 7.720
angles (deg): 90.00 106.48 90.00
Sites, in units of the cell vectors:
Cu  0.326  0.750  0.227
Cu  0.674  0.250  0.773
Sb  0.738  0.750  0.054
Sb  0.262  0.250  0.946
Sb  0.272  0.250  0.413
Sb  0.728  0.750  0.587
Se  0.497  0.474  0.252
Se  0.053  0.750  0.900
Se  0.947  0.250  0.100
Se  0.497  0.026  0.252
Se  0.961  0.250  0.627
Se  0.503  0.974  0.748
Se  0.503  0.526  0.748
Se  0.039  0.750  0.373

Calculated values
For the relative energy among the computed polymorphs, the calculation gives 0.061 eV/atom. The calculation puts the uncorrected formation energy at -0.38 eV/f.u.

***

Record 14
Here is a relaxed structure of Na2PmInCl6 from Alexandria. Energies are from GGA-PBE.

a b c (Å): 7.286 7.286 7.820
angles (deg): 62.23 62.22 59.98
Sites, in units of the cell vectors:
Na  0.520  0.520  0.440
Na  0.008  0.008  0.977
Pm  0.322  0.322  0.033
In  0.804  0.804  0.587
Cl  0.589  0.244  0.233
Cl  0.244  0.933  0.233
Cl  0.933  0.589  0.233
Cl  0.366  0.720  0.759
Cl  0.720  0.155  0.759
Cl  0.155  0.366  0.759

Calculated values
The calculation puts the uncorrected formation energy at -17.98 eV/f.u.

***

Record 15
Here is a relaxed structure of BaNiHg2Au from Alexandria. Energies are from GGA-PBE.

a b c (Å): 5.059 5.059 5.187
angles (deg): 90.00 90.00 90.00
Sites, in units of the cell vectors:
Ni  0.000  0.000  0.000
Au  0.000  0.000  0.500
Hg  0.000  0.500  0.000
Hg  0.500  0.000  0.000
Ba  0.500  0.500  0.500

Calculated values
The formation enthalpy at 0 K is -27 kJ per mole of atoms.

***

Record 16
Here is a relaxed structure of K2BOsO6 from Alexandria. Energies are from GGA-PBE.

a b c (Å): 5.671 5.669 6.527
angles (deg): 54.91 54.91 71.13
Site moments in Bohr magnetons follow the coordinates.
Sites, in units of the cell vectors:
K  0.750  0.250  0.501  0.00
K  0.250  0.750  0.499  0.00
B  0.500  0.500  0.000  0.00
Os  0.000  0.000  0.000  0.49
O  0.201  0.201  0.598  0.10
O  0.800  0.798  0.000  0.10
O  0.309  0.692  0.000  -0.01
O  0.691  0.308  0.000  -0.01
O  0.200  0.202  0.000  0.10
O  0.799  0.799  0.402  0.10

Calculated values
The calculation puts the uncorrected formation energy at -13.79 eV/f.u.

***

Record 17
Here is a relaxed structure of La2Y6Er3 from Alexandria. Energies are from GGA-PBE.

a b c (Å): 6.135 6.139 11.831
angles (deg): 85.01 79.98 60.02
Sites, in units of the cell vectors:
La  0.167  0.666  0.500
La  0.833  0.334  0.500
Y  0.415  0.667  0.756
Y  0.748  0.000  0.756
Y  0.082  0.333  0.756
Y  0.252  0.000  0.244
Y  0.585  0.333  0.244
Y  0.918  0.667  0.244
Er  0.000  0.000  0.000
Er  0.335  0.330  0.000
Er  0.665  0.670  0.000

Calculated values
The formation enthalpy at 0 K is 18 kJ per mole of atoms.

***

Record 18
Here is a relaxed structure of Nd6Sm2Ho5 from Alexandria. Energies are from GGA-PBE.

a b c (Å): 3.642 11.802 20.562
angles (deg): 90.00 90.00 90.00
Sites, in units of the cell vectors:
Nd  0.000  0.081  0.366
Nd  0.000  0.919  0.634
Nd  0.000  0.581  0.134
Nd  0.000  0.419  0.866
Nd  0.500  0.324  0.130
Nd  0.500  0.676  0.870
Nd  0.500  0.824  0.370
Nd  0.500  0.176  0.630
Nd  0.000  0.559  0.422
Nd  0.000  0.441  0.578
Nd  0.000  0.059  0.078
Nd  0.000  0.941  0.922
Sm  0.000  0.333  0.286
Sm  0.000  0.667  0.714
Sm  0.000  0.833  0.214
Sm  0.000  0.167  0.786
Ho  0.500  0.301  0.444
Ho  0.500  0.699  0.556
Ho  0.500  0.801  0.056
Ho  0.500  0.199  0.944
Ho  0.500  0.593  0.276
Ho  0.500  0.407  0.724
Ho  0.500  0.093  0.224
Ho  0.500  0.907  0.776
Ho  0.500  0.500  0.000
Ho  0.500  0.000  0.500

Calculated values
The formation enthalpy at 0 K is 10 kJ per mole of atoms.

***

Record 19
Here is a relaxed structure of LaPmEr2Sb4 from Alexandria. Energies are from GGA-PBE.

a b c (Å): 4.465 7.708 7.727
angles (deg): 70.49 90.00 90.00
Sites, in units of the cell vectors:
La  0.500  0.500  0.000
Pm  0.000  0.500  0.500
Er  0.000  0.000  0.000
Er  0.500  0.000  0.500
Sb  0.000  0.764  0.743
Sb  0.000  0.236  0.257
Sb  0.500  0.761  0.249
Sb  0.500  0.239  0.751

Calculated values
The calculation puts the uncorrected formation energy at -9.26 eV/f.u.

***

Record 20
Here is a relaxed structure of NaSbOs from Alexandria. Energies are from GGA-PBE.

a b c (Å): 3.114 5.537 7.950
angles (deg): 108.68 90.11 106.32
Sites, in units of the cell vectors:
Na  0.159  0.314  0.128
Na  0.841  0.686  0.872
Sb  0.452  0.907  0.278
Sb  0.548  0.093  0.722
Os  0.855  0.706  0.493
Os  0.145  0.294  0.507

Calculated values
The calculation puts the uncorrected formation energy at 0.45 eV/f.u.

***

M_tot: 0.000 1.897 0.000 0.000 0.000 0.753 1.805 0.000 9.000 0.000 0.000 0.000 0.000 0.000 0.000 1.024 0.012 0.000 0.000 0.000 (Bohr magnetons per cell)